The following is a DFT calculation (PBE) of a geometry-optimized Tl2AgHg5 structure. Values from VASP.

Quantum ESPRESSO input file:
```
&SYSTEM
  ibrav = 0, nat = 8, ntyp = 3
/
ATOMIC_SPECIES
Tl 204.38 Tl.upf
Ag 107.87 Ag.upf
Hg 200.59 Hg.upf
CELL_PARAMETERS angstrom
7.436 -1.249 2.765
-2.955 7.006 3.175
0.563 1.340 5.547
ATOMIC_POSITIONS crystal
Tl 0.332 0.590 0.537
Tl 0.595 0.333 0.596
Ag 0.948 0.951 0.098
Hg 0.886 0.116 0.565
Hg 0.719 0.182 0.129
Hg 0.205 0.746 0.017
Hg 0.063 0.829 0.560
Hg 0.476 0.476 0.051
```

Computed properties:
Space-group type ... P1, No. 1
Total magnetization ... 0.0 μB per formula unit
N(E_F) ... 0.35 states/eV/atom
E ... -1.096 eV per atom
V ... 212.8 Å³/cell